Record 1
Sr2BiPt4Pb3: optimized geometry, PBE.

energy	-47.6	eV per formula unit
total moment	0.00	μB/f.u.
DOS(E_F)	4.0	states/eV/cell
ΔE_f	-5.04	eV per formula unit

Geometry as POSCAR:
```
Sr2BiPt4Pb3
1.0
4.943 0.000 0.000
0.000 4.943 0.000
0.000 0.000 10.689
Sr Bi Pt Pb
2 1 4 3
Cartesian
0.000 2.471 2.496 Sr
2.471 0.000 8.193 Sr
0.000 0.000 5.344 Bi
0.000 0.000 0.000 Pt
0.000 2.471 6.712 Pt
2.471 0.000 3.977 Pt
2.471 2.471 0.000 Pt
0.000 2.471 9.430 Pb
2.471 0.000 1.259 Pb
2.471 2.471 5.344 Pb
```

***

Record 2
Sr2Bi3Pt4Pb: optimized geometry, PBE.

energy	-48.3	eV per formula unit
total moment	0.00	μB/f.u.
DOS(E_F)	7.1	states/eV/cell
ΔE_f	-5.40	eV per formula unit

Geometry as POSCAR:
```
Sr2Bi3Pt4Pb
1.0
4.884 0.000 0.000
0.000 4.884 0.000
0.000 0.000 11.018
Sr Bi Pt Pb
2 3 4 1
Cartesian
0.000 2.442 2.554 Sr
2.442 0.000 8.464 Sr
0.000 2.442 9.655 Bi
2.442 0.000 1.363 Bi
2.442 2.442 5.509 Bi
0.000 0.000 0.000 Pt
0.000 2.442 6.935 Pt
2.442 0.000 4.083 Pt
2.442 2.442 0.000 Pt
0.000 0.000 5.509 Pb
```